1.
{"formula": "TaSi4", "functional": "GGA-PBE", "state": "relaxed", "lattice_angstrom": [[-2.876, 2.876, 2.876], [2.876, -2.876, 2.876], [2.876, 2.876, -2.876]], "species": ["Si", "Si", "Si", "Ta", "Si"], "fractional_positions": [[0.000, 0.000, 0.500], [0.500, 0.000, 0.000], [0.500, 0.500, 0.500], [0.000, 0.000, 0.000], [0.000, 0.500, 0.000]], "e_form_raw_ev_per_atom": 0.282, "e_above_lowest_polymorph_mev_per_atom": 261}


2.
{"formula": "Ta2TiZnCd", "functional": "GGA-PBE", "state": "relaxed", "lattice_angstrom": [[4.683, 0.000, 0.000], [0.000, 5.153, 0.000], [0.000, 0.000, 4.683]], "species": ["Zn", "Ta", "Ti", "Ta", "Cd"], "fractional_positions": [[0.500, 0.500, 0.500], [0.500, 0.000, 0.000], [0.000, 0.000, 0.000], [0.000, 0.000, 0.500], [0.000, 0.500, 0.000]], "formation_enthalpy_0k_mev_per_atom": 1333.3}


3.
{"formula": "RbHf2Hg2", "functional": "GGA-PBE", "state": "relaxed", "lattice_angstrom": [[9.046, 0.000, 0.000], [0.000, 9.046, 0.000], [0.000, 0.000, 3.112]], "species": ["Hg", "Hg", "Rb", "Hf", "Hg", "Hg", "Hf", "Hf", "Hf", "Rb"], "fractional_positions": [[0.823, 0.323, 0.500], [0.677, 0.823, 0.500], [0.500, 0.500, 0.000], [0.383, 0.883, 0.000], [0.323, 0.177, 0.500], [0.177, 0.677, 0.500], [0.883, 0.617, 0.000], [0.617, 0.117, 0.000], [0.117, 0.383, 0.000], [0.000, 0.000, 0.000]], "formation_enthalpy_0k_mev_per_atom": 273.9}


4.
{"formula": "Li12ZnGa3", "functional": "GGA-PBE", "state": "relaxed", "lattice_angstrom": [[3.970, 0.000, 0.000], [0.000, 3.970, 0.000], [0.000, 0.000, 16.860]], "species": ["Li", "Li", "Li", "Li", "Ga", "Ga", "Li", "Li", "Ga", "Li", "Li", "Li", "Li", "Zn", "Li", "Li"], "fractional_positions": [[0.500, 0.000, 0.627], [0.500, 0.500, 0.000], [0.500, 0.000, 0.373], [0.500, 0.000, 0.124], [0.000, 0.000, 0.750], [0.000, 0.000, 0.500], [0.500, 0.500, 0.500], [0.500, 0.500, 0.752], [0.000, 0.000, 0.250], [0.500, 0.500, 0.248], [0.000, 0.500, 0.627], [0.500, 0.000, 0.876], [0.000, 0.500, 0.373], [0.000, 0.000, 0.000], [0.000, 0.500, 0.876], [0.000, 0.500, 0.124]], "formation_enthalpy_0k_mev_per_atom": -145.7}


Number 1: theoretical density 5.12 g/cm³, D(E_F) 0.700 states/eV per atom. Number 2: theoretical density 8.63 g/cm³, D(E_F) 0.856 states/eV per atom. Number 3: theoretical density 11.00 g/cm³, D(E_F) 0.805 states/eV per atom. Number 4: theoretical density 2.24 g/cm³, D(E_F) 0.414 states/eV per atom.